1.
! PmHf2Ir2 | the Open Quantum Materials Database | PBE-GGA | optimized geometry; values from VASP
&SYSTEM
  ibrav = 0, nat = 5, ntyp = 3
/
ATOMIC_SPECIES
Pm 145.00 Pm.upf
Hf 178.49 Hf.upf
Ir 192.22 Ir.upf
CELL_PARAMETERS angstrom
-2.239 2.239 5.518
2.239 -2.239 5.518
2.239 2.239 -5.518
ATOMIC_POSITIONS crystal
Pm 0.000 0.000 0.000
Hf 0.250 0.750 0.500
Hf 0.750 0.250 0.500
Ir 0.382 0.382 0.000
Ir 0.618 0.618 0.000
! VASP energy = -9.303 eV/atom
! DFT formation energy = -830 meV per atom
! spin magnetization = 0.00 μB per formula unit

2.
! PrHfIr | the Open Quantum Materials Database | PBE-GGA | optimized geometry; values from VASP
&SYSTEM
  ibrav = 0, nat = 6, ntyp = 3
/
ATOMIC_SPECIES
Pr 140.91 Pr.upf
Hf 178.49 Hf.upf
Ir 192.22 Ir.upf
CELL_PARAMETERS angstrom
4.618 0.000 0.000
0.000 4.618 0.000
0.000 0.000 6.841
ATOMIC_POSITIONS crystal
Pr 0.250 0.250 0.130
Pr 0.750 0.750 0.870
Hf 0.250 0.750 0.500
Hf 0.750 0.250 0.500
Ir 0.250 0.250 0.701
Ir 0.750 0.750 0.299
! VASP energy = -8.561 eV/atom
! DFT formation energy = -699 meV per atom
! spin magnetization = 0.00 μB per formula unit

3.
! Hf2IrPt | the Open Quantum Materials Database | PBE-GGA | optimized geometry; values from VASP
&SYSTEM
  ibrav = 0, nat = 4, ntyp = 3
/
ATOMIC_SPECIES
Hf 178.49 Hf.upf
Ir 192.22 Ir.upf
Pt 195.08 Pt.upf
CELL_PARAMETERS angstrom
0.000 3.256 3.256
3.256 0.000 3.256
3.256 3.256 0.000
ATOMIC_POSITIONS crystal
Hf 0.000 0.000 0.000
Hf 0.250 0.250 0.250
Ir 0.750 0.750 0.750
Pt 0.500 0.500 0.500
! VASP energy = -9.304 eV/atom
! DFT formation energy = -599 meV per atom
! spin magnetization = 0.00 μB per formula unit

4.
! Hf2IrPt | the Open Quantum Materials Database | PBE-GGA | optimized geometry; values from VASP
&SYSTEM
  ibrav = 0, nat = 8, ntyp = 3
/
ATOMIC_SPECIES
Hf 178.49 Hf.upf
Ir 192.22 Ir.upf
Pt 195.08 Pt.upf
CELL_PARAMETERS angstrom
1.735 -9.738 0.000
1.735 9.738 0.000
0.000 0.000 4.351
ATOMIC_POSITIONS crystal
Hf 0.063 0.937 0.750
Hf 0.196 0.804 0.250
Hf 0.804 0.196 0.750
Hf 0.937 0.063 0.250
Ir 0.332 0.668 0.250
Ir 0.668 0.332 0.750
Pt 0.442 0.558 0.750
Pt 0.558 0.442 0.250
! VASP energy = -9.713 eV/atom
! DFT formation energy = -1008 meV per atom
! spin magnetization = 0.00 μB per formula unit

5.
! HfIrPt2 | the Open Quantum Materials Database | PBE-GGA | optimized geometry; values from VASP
&SYSTEM
  ibrav = 0, nat = 4, ntyp = 3
/
ATOMIC_SPECIES
Hf 178.49 Hf.upf
Ir 192.22 Ir.upf
Pt 195.08 Pt.upf
CELL_PARAMETERS angstrom
0.000 3.209 3.209
3.209 0.000 3.209
3.209 3.209 0.000
ATOMIC_POSITIONS crystal
Hf 0.000 0.000 0.000
Ir 0.250 0.250 0.250
Pt 0.500 0.500 0.500
Pt 0.750 0.750 0.750
! VASP energy = -8.289 eV/atom
! DFT formation energy = -558 meV per atom
! spin magnetization = 0.00 μB per formula unit

6.
! RbHfIr | the Open Quantum Materials Database | PBE-GGA | optimized geometry; values from VASP
&SYSTEM
  ibrav = 0, nat = 3, ntyp = 3
/
ATOMIC_SPECIES
Rb 85.47 Rb.upf
Hf 178.49 Hf.upf
Ir 192.22 Ir.upf
CELL_PARAMETERS angstrom
0.000 3.304 3.304
3.304 0.000 3.304
3.304 3.304 0.000
ATOMIC_POSITIONS crystal
Rb 0.000 0.000 0.000
Hf 0.750 0.750 0.750
Ir 0.250 0.250 0.250
! VASP energy = -4.490 eV/atom
! spin magnetization = 0.01 μB per formula unit
! energy relative to the lowest polymorph listed for this composition = 1326 meV/atom

7.
! RbHfIr | the Open Quantum Materials Database | PBE-GGA | optimized geometry; values from VASP
&SYSTEM
  ibrav = 0, nat = 3, ntyp = 3
/
ATOMIC_SPECIES
Rb 85.47 Rb.upf
Hf 178.49 Hf.upf
Ir 192.22 Ir.upf
CELL_PARAMETERS angstrom
2.686 1.551 3.150
-2.686 1.551 3.150
0.000 -3.101 3.150
ATOMIC_POSITIONS crystal
Rb 0.000 0.000 0.000
Hf 0.577 0.577 0.577
Ir 0.322 0.322 0.322
! VASP energy = -5.816 eV/atom
! spin magnetization = 0.00 μB per formula unit
! energy relative to the lowest polymorph listed for this composition = 0 meV/atom

8.
! RbHfIr | the Open Quantum Materials Database | PBE-GGA | optimized geometry; values from VASP
&SYSTEM
  ibrav = 0, nat = 3, ntyp = 3
/
ATOMIC_SPECIES
Rb 85.47 Rb.upf
Hf 178.49 Hf.upf
Ir 192.22 Ir.upf
CELL_PARAMETERS angstrom
0.000 3.384 3.384
3.384 0.000 3.384
3.384 3.384 0.000
ATOMIC_POSITIONS crystal
Rb 0.000 0.000 0.000
Hf 0.500 0.500 0.500
Ir 0.750 0.750 0.750
! VASP energy = -5.761 eV/atom
! spin magnetization = 0.00 μB per formula unit
! energy relative to the lowest polymorph listed for this composition = 55 meV/atom

9.
! Hf3Re2Ir | the Open Quantum Materials Database | PBE-GGA | optimized geometry; values from VASP
&SYSTEM
  ibrav = 0, nat = 6, ntyp = 3
/
ATOMIC_SPECIES
Hf 178.49 Hf.upf
Re 186.21 Re.upf
Ir 192.22 Ir.upf
CELL_PARAMETERS angstrom
5.608 0.000 0.000
-2.804 4.856 0.000
0.000 0.000 4.298
ATOMIC_POSITIONS crystal
Hf 0.000 0.500 0.000
Hf 0.500 0.000 0.000
Hf 0.500 0.500 0.000
Re 0.333 0.667 0.500
Re 0.667 0.333 0.500
Ir 0.000 0.000 0.500
! VASP energy = -9.918 eV/atom
! DFT formation energy = 676 meV per atom
! spin magnetization = 0.01 μB per formula unit

10.
! Hf2ReIr | the Open Quantum Materials Database | PBE-GGA | optimized geometry; values from VASP
&SYSTEM
  ibrav = 0, nat = 16, ntyp = 3
/
ATOMIC_SPECIES
Hf 178.49 Hf.upf
Re 186.21 Re.upf
Ir 192.22 Ir.upf
CELL_PARAMETERS angstrom
5.151 0.000 0.000
0.000 8.267 0.000
0.000 0.000 6.700
ATOMIC_POSITIONS crystal
Hf 0.250 0.057 0.094
Hf 0.250 0.443 0.094
Hf 0.250 0.557 0.594
Hf 0.250 0.943 0.594
Hf 0.750 0.057 0.406
Hf 0.750 0.443 0.406
Hf 0.750 0.557 0.906
Hf 0.750 0.943 0.906
Re 0.001 0.250 0.749
Re 0.499 0.750 0.249
Re 0.501 0.250 0.751
Re 0.999 0.750 0.251
Ir 0.248 0.750 0.901
Ir 0.252 0.250 0.401
Ir 0.748 0.750 0.599
Ir 0.752 0.250 0.099
! VASP energy = -10.872 eV/atom
! DFT formation energy = -575 meV per atom
! spin magnetization = 0.00 μB per formula unit
! energy relative to the lowest polymorph listed for this composition = 160 meV/atom

11.
! Hf2ReIr | the Open Quantum Materials Database | PBE-GGA | optimized geometry; values from VASP
&SYSTEM
  ibrav = 0, nat = 4, ntyp = 3
/
ATOMIC_SPECIES
Hf 178.49 Hf.upf
Re 186.21 Re.upf
Ir 192.22 Ir.upf
CELL_PARAMETERS angstrom
0.000 3.265 3.265
3.265 0.000 3.265
3.265 3.265 0.000
ATOMIC_POSITIONS crystal
Hf 0.250 0.250 0.250
Hf 0.750 0.750 0.750
Re 0.000 0.000 0.000
Ir 0.500 0.500 0.500
! VASP energy = -11.032 eV/atom
! DFT formation energy = -735 meV per atom
! spin magnetization = 0.00 μB per formula unit
! energy relative to the lowest polymorph listed for this composition = 0 meV/atom

12.
! HfReIr | the Open Quantum Materials Database | PBE-GGA | optimized geometry; values from VASP
&SYSTEM
  ibrav = 0, nat = 3, ntyp = 3
/
ATOMIC_SPECIES
Hf 178.49 Hf.upf
Re 186.21 Re.upf
Ir 192.22 Ir.upf
CELL_PARAMETERS angstrom
0.000 3.081 3.081
3.081 0.000 3.081
3.081 3.081 0.000
ATOMIC_POSITIONS crystal
Hf 0.000 0.000 0.000
Re 0.500 0.500 0.500
Ir 0.250 0.250 0.250
! VASP energy = -10.283 eV/atom
! DFT formation energy = 128 meV per atom
! spin magnetization = 0.00 μB per formula unit
! energy relative to the lowest polymorph listed for this composition = 0 meV/atom

13.
! HfReIr2 | the Open Quantum Materials Database | PBE-GGA | optimized geometry; values from VASP
&SYSTEM
  ibrav = 0, nat = 4, ntyp = 3
/
ATOMIC_SPECIES
Hf 178.49 Hf.upf
Re 186.21 Re.upf
Ir 192.22 Ir.upf
CELL_PARAMETERS angstrom
0.000 3.181 3.181
3.181 0.000 3.181
3.181 3.181 0.000
ATOMIC_POSITIONS crystal
Hf 0.000 0.000 0.000
Re 0.750 0.750 0.750
Ir 0.250 0.250 0.250
Ir 0.500 0.500 0.500
! VASP energy = -10.088 eV/atom
! DFT formation energy = -66 meV per atom
! spin magnetization = 0.00 μB per formula unit

14.
! Hf2ReIr | the Open Quantum Materials Database | PBE-GGA | optimized geometry; values from VASP
&SYSTEM
  ibrav = 0, nat = 4, ntyp = 3
/
ATOMIC_SPECIES
Hf 178.49 Hf.upf
Re 186.21 Re.upf
Ir 192.22 Ir.upf
CELL_PARAMETERS angstrom
3.284 0.000 0.000
0.000 3.284 0.000
0.000 0.000 6.482
ATOMIC_POSITIONS crystal
Hf 0.000 0.000 0.246
Hf 0.000 0.000 0.754
Re 0.500 0.500 0.000
Ir 0.500 0.500 0.500
! VASP energy = -11.029 eV/atom
! DFT formation energy = -732 meV per atom
! spin magnetization = 0.00 μB per formula unit
! energy relative to the lowest polymorph listed for this composition = 3 meV/atom

15.
! HfReIr | the Open Quantum Materials Database | PBE-GGA | optimized geometry; values from VASP
&SYSTEM
  ibrav = 0, nat = 3, ntyp = 3
/
ATOMIC_SPECIES
Hf 178.49 Hf.upf
Re 186.21 Re.upf
Ir 192.22 Ir.upf
CELL_PARAMETERS angstrom
0.000 3.082 3.082
3.082 0.000 3.082
3.082 3.082 0.000
ATOMIC_POSITIONS crystal
Hf 0.000 0.000 0.000
Re 0.250 0.250 0.250
Ir 0.750 0.750 0.750
! VASP energy = -9.749 eV/atom
! DFT formation energy = 662 meV per atom
! spin magnetization = 0.02 μB per formula unit
! energy relative to the lowest polymorph listed for this composition = 535 meV/atom

16.
! Hf2ReIr | the Open Quantum Materials Database | PBE-GGA | optimized geometry; values from VASP
&SYSTEM
  ibrav = 0, nat = 4, ntyp = 3
/
ATOMIC_SPECIES
Hf 178.49 Hf.upf
Re 186.21 Re.upf
Ir 192.22 Ir.upf
CELL_PARAMETERS angstrom
0.000 3.266 3.266
3.266 0.000 3.266
3.266 3.266 0.000
ATOMIC_POSITIONS crystal
Hf 0.250 0.250 0.250
Hf 0.750 0.750 0.750
Re 0.000 0.000 0.000
Ir 0.500 0.500 0.500
! VASP energy = -11.032 eV/atom
! DFT formation energy = -735 meV per atom
! spin magnetization = 0.00 μB per formula unit
! energy relative to the lowest polymorph listed for this composition = 0 meV/atom

17.
! Hf2ReIr | the Open Quantum Materials Database | PBE-GGA | optimized geometry; values from VASP
&SYSTEM
  ibrav = 0, nat = 4, ntyp = 3
/
ATOMIC_SPECIES
Hf 178.49 Hf.upf
Re 186.21 Re.upf
Ir 192.22 Ir.upf
CELL_PARAMETERS angstrom
0.000 3.249 3.249
3.249 0.000 3.249
3.249 3.249 0.000
ATOMIC_POSITIONS crystal
Hf 0.000 0.000 0.000
Hf 0.250 0.250 0.250
Re 0.500 0.500 0.500
Ir 0.750 0.750 0.750
! VASP energy = -10.481 eV/atom
! DFT formation energy = -184 meV per atom
! spin magnetization = 0.00 μB per formula unit
! energy relative to the lowest polymorph listed for this composition = 551 meV/atom

18.
! Hf3Zr3Sb2Ir | the Open Quantum Materials Database | PBE-GGA | optimized geometry; values from VASP
&SYSTEM
  ibrav = 0, nat = 9, ntyp = 4
/
ATOMIC_SPECIES
Hf 178.49 Hf.upf
Zr 91.22 Zr.upf
Sb 121.76 Sb.upf
Ir 192.22 Ir.upf
CELL_PARAMETERS angstrom
7.843 0.000 0.000
-3.922 6.792 0.000
0.000 0.000 3.649
ATOMIC_POSITIONS crystal
Hf 0.000 0.752 0.000
Hf 0.248 0.248 0.000
Hf 0.752 0.000 0.000
Zr 0.000 0.403 0.500
Zr 0.403 0.000 0.500
Zr 0.597 0.597 0.500
Sb 0.333 0.667 0.000
Sb 0.667 0.333 0.000
Ir 0.000 0.000 0.500
! VASP energy = -8.760 eV/atom
! spin magnetization = 0.01 μB per formula unit
! energy relative to the lowest polymorph listed for this composition = 0 meV/atom

19.
! Hf3Zr3Sb2Ir | the Open Quantum Materials Database | PBE-GGA | optimized geometry; values from VASP
&SYSTEM
  ibrav = 0, nat = 9, ntyp = 4
/
ATOMIC_SPECIES
Hf 178.49 Hf.upf
Zr 91.22 Zr.upf
Sb 121.76 Sb.upf
Ir 192.22 Ir.upf
CELL_PARAMETERS angstrom
7.861 0.000 0.000
-3.930 6.807 0.000
0.000 0.000 3.631
ATOMIC_POSITIONS crystal
Hf 0.000 0.400 0.000
Hf 0.400 0.000 0.000
Hf 0.600 0.600 0.000
Zr 0.000 0.747 0.500
Zr 0.253 0.253 0.500
Zr 0.747 0.000 0.500
Sb 0.333 0.667 0.500
Sb 0.667 0.333 0.500
Ir 0.000 0.000 0.000
! VASP energy = -8.669 eV/atom
! spin magnetization = 0.00 μB per formula unit
! energy relative to the lowest polymorph listed for this composition = 91 meV/atom

20.
! HfScIr | the Open Quantum Materials Database | PBE-GGA | optimized geometry; values from VASP
&SYSTEM
  ibrav = 0, nat = 3, ntyp = 3
/
ATOMIC_SPECIES
Hf 178.49 Hf.upf
Sc 44.96 Sc.upf
Ir 192.22 Ir.upf
CELL_PARAMETERS angstrom
0.000 3.185 3.185
3.185 0.000 3.185
3.185 3.185 0.000
ATOMIC_POSITIONS crystal
Hf 0.000 0.000 0.000
Sc 0.500 0.500 0.500
Ir 0.750 0.750 0.750
! VASP energy = -9.038 eV/atom
! DFT formation energy = -658 meV per atom
! spin magnetization = 0.00 μB per formula unit
! energy relative to the lowest polymorph listed for this composition = 0 meV/atom

21.
! Hf2ScIr | the Open Quantum Materials Database | PBE-GGA | optimized geometry; values from VASP
&SYSTEM
  ibrav = 0, nat = 4, ntyp = 3
/
ATOMIC_SPECIES
Hf 178.49 Hf.upf
Sc 44.96 Sc.upf
Ir 192.22 Ir.upf
CELL_PARAMETERS angstrom
0.000 3.353 3.353
3.353 0.000 3.353
3.353 3.353 0.000
ATOMIC_POSITIONS crystal
Hf 0.000 0.000 0.000
Hf 0.250 0.250 0.250
Sc 0.750 0.750 0.750
Ir 0.500 0.500 0.500
! VASP energy = -9.036 eV/atom
! DFT formation energy = -262 meV per atom
! spin magnetization = 0.04 μB per formula unit

22.
! Hf2Si2Ir | the Open Quantum Materials Database | PBE-GGA | optimized geometry; values from VASP
&SYSTEM
  ibrav = 0, nat = 10, ntyp = 3
/
ATOMIC_SPECIES
Hf 178.49 Hf.upf
Si 28.09 Si.upf
Ir 192.22 Ir.upf
CELL_PARAMETERS angstrom
6.261 0.000 0.000
0.000 6.261 0.000
0.000 0.000 4.172
ATOMIC_POSITIONS crystal
Hf 0.169 0.331 0.000
Hf 0.331 0.831 0.000
Hf 0.669 0.169 0.000
Hf 0.831 0.669 0.000
Si 0.135 0.635 0.500
Si 0.365 0.135 0.500
Si 0.635 0.865 0.500
Si 0.865 0.365 0.500
Ir 0.000 0.000 0.500
Ir 0.500 0.500 0.500
! VASP energy = -8.910 eV/atom
! spin magnetization = 0.01 μB per formula unit

23.
! HfSiIr | the Open Quantum Materials Database | PBE-GGA | optimized geometry; values from VASP
&SYSTEM
  ibrav = 0, nat = 9, ntyp = 3
/
ATOMIC_SPECIES
Hf 178.49 Hf.upf
Si 28.09 Si.upf
Ir 192.22 Ir.upf
CELL_PARAMETERS angstrom
6.895 0.000 0.000
-3.447 5.971 0.000
0.000 0.000 3.618
ATOMIC_POSITIONS crystal
Hf 0.000 0.604 0.000
Hf 0.396 0.396 0.000
Hf 0.604 0.000 0.000
Si 0.000 0.259 0.500
Si 0.259 0.000 0.500
Si 0.741 0.741 0.500
Ir 0.000 0.000 0.000
Ir 0.333 0.667 0.500
Ir 0.667 0.333 0.500
! VASP energy = -9.030 eV/atom
! spin magnetization = 0.00 μB per formula unit

24.
! Hf2SiIr | the Open Quantum Materials Database | PBE-GGA | optimized geometry; values from VASP
&SYSTEM
  ibrav = 0, nat = 4, ntyp = 3
/
ATOMIC_SPECIES
Hf 178.49 Hf.upf
Si 28.09 Si.upf
Ir 192.22 Ir.upf
CELL_PARAMETERS angstrom
0.000 3.240 3.240
3.240 0.000 3.240
3.240 3.240 0.000
ATOMIC_POSITIONS crystal
Hf 0.000 0.000 0.000
Hf 0.250 0.250 0.250
Si 0.500 0.500 0.500
Ir 0.750 0.750 0.750
! VASP energy = -8.738 eV/atom
! spin magnetization = 1.30 μB per formula unit

25.
! Hf2Si2Ir | the Open Quantum Materials Database | PBE-GGA | optimized geometry; values from VASP
&SYSTEM
  ibrav = 0, nat = 5, ntyp = 3
/
ATOMIC_SPECIES
Hf 178.49 Hf.upf
Si 28.09 Si.upf
Ir 192.22 Ir.upf
CELL_PARAMETERS angstrom
-1.721 1.721 7.141
1.721 -1.721 7.141
1.721 1.721 -7.141
ATOMIC_POSITIONS crystal
Hf 0.103 0.103 0.000
Hf 0.897 0.897 0.000
Si 0.250 0.750 0.500
Si 0.750 0.250 0.500
Ir 0.500 0.500 0.000
! VASP energy = -8.349 eV/atom
! spin magnetization = 0.00 μB per formula unit

26.
! HfSiIr | the Open Quantum Materials Database | PBE-GGA | optimized geometry; values from VASP
&SYSTEM
  ibrav = 0, nat = 9, ntyp = 3
/
ATOMIC_SPECIES
Hf 178.49 Hf.upf
Si 28.09 Si.upf
Ir 192.22 Ir.upf
CELL_PARAMETERS angstrom
7.474 0.000 0.000
-3.737 6.472 0.000
0.000 0.000 2.956
ATOMIC_POSITIONS crystal
Hf 0.000 0.295 0.000
Hf 0.295 0.000 0.000
Hf 0.705 0.705 0.000
Si 0.000 0.000 0.500
Si 0.333 0.667 0.000
Si 0.667 0.333 0.000
Ir 0.000 0.634 0.500
Ir 0.366 0.366 0.500
Ir 0.634 0.000 0.500
! VASP energy = -8.603 eV/atom
! spin magnetization = 0.00 μB per formula unit